First-principles (PBE) data for a geometry-optimized CoReW2 structure, as listed in the Alexandria database.

```
4
Lattice="-3.463 3.187 1.988 -1.550 -4.785 -0.898 -0.090 -0.931 2.511" Properties=species:S:1:pos:R:3 pbc="T T T"
Co -1.776 1.128 2.250
Re -0.820 -2.858 0.806
W 0.000 0.000 0.000
W -2.506 -0.799 0.545
```

## Properties
Polymorph energy (0 for the lowest one)   0.22 eV/f.u.
Calculated total energy   -11.19 eV per atom
Calculated volume   59 Å³/f.u.
DFT formation energy   0.18 eV/atom